No. 1
Material: Be2TcHg
Method: DFT, PBE
State: optimized geometry

## Properties
SG = R3m, No. 160
DOS(E_F) = 2.79 states/eV/cell
formation enthalpy at 0 K = 0.5877 eV per atom

Unit cell a=8.5600 b=8.5600 c=8.5600 alpha=18.71 beta=18.71 gamma=18.71
Atoms (fractional coordinates):
Be1 0.9959 0.9959 0.9959
Be2 0.2610 0.2610 0.2610
Hg1 0.5058 0.5058 0.5058
Tc1 0.7374 0.7374 0.7374


No. 2
Material: Dy6Co2Os
Method: DFT, PBE
State: optimized geometry

## Properties
SG = Immm, No. 71
DOS(E_F) = 16.36 states/eV/cell
formation enthalpy at 0 K = -0.1824 eV per atom

Unit cell a=8.1416 b=8.1416 c=8.1416 alpha=108.11 beta=109.89 gamma=110.43
Atoms (fractional coordinates):
Dy1 0.5619 0.7379 0.8240
Dy2 0.4381 0.2621 0.1760
Dy3 0.0860 0.2621 0.8240
Dy4 0.9140 0.7379 0.1760
Dy5 0.8155 0.7415 0.5569
Dy6 0.1845 0.2585 0.4431
Dy7 0.1845 0.7415 0.9260
Dy8 0.8155 0.2585 0.0740
Dy9 0.6876 0.3587 0.6712
Dy10 0.3124 0.6413 0.3288
Dy11 0.3124 0.9836 0.6712
Dy12 0.6876 0.0164 0.3288
Co1 0.5000 0.3863 0.8863
Co2 0.5000 0.6137 0.1137
Co3 0.6640 0.0000 0.6640
Co4 0.3360 0.0000 0.3360
Os1 0.0000 0.5000 0.5000
Os2 0.0000 0.0000 0.0000


No. 3
Material: Er4ZnPd2
Method: DFT, PBE
State: optimized geometry

## Properties
SG = P4/mmm, No. 123
DOS(E_F) = 4.77 states/eV/cell
formation enthalpy at 0 K = -0.5698 eV per atom

Unit cell a=4.8964 b=4.8964 c=6.9805 alpha=90.00 beta=90.00 gamma=90.00
Atoms (fractional coordinates):
Er1 0.5000 0.0000 0.2526
Er2 0.0000 0.5000 0.7474
Er3 0.5000 0.0000 0.7474
Er4 0.0000 0.5000 0.2526
Zn1 0.5000 0.5000 0.0000
Pd1 0.0000 0.0000 0.0000
Pd2 0.5000 0.5000 0.5000


No. 4
Material: SmHo8Tm2
Method: DFT, PBE
State: optimized geometry

## Properties
SG = C2/m, No. 12
DOS(E_F) = 18.13 states/eV/cell
formation enthalpy at 0 K = 0.1541 eV per atom

Unit cell a=5.4972 b=10.0991 c=10.0991 alpha=39.77 beta=92.67 gamma=92.67
Atoms (fractional coordinates):
Sm1 0.0000 0.0000 0.0000
Ho1 0.2679 0.1324 0.5999
Ho2 0.2679 0.5999 0.1324
Ho3 0.7321 0.8676 0.4001
Ho4 0.2375 0.5470 0.5470
Ho5 0.7321 0.4001 0.8676
Ho6 0.2332 0.1886 0.1886
Ho7 0.7668 0.8114 0.8114
Ho8 0.7625 0.4530 0.4530
Tm1 0.7496 0.2844 0.2844
Tm2 0.2504 0.7156 0.7156